4
Lattice="-2.4917 0.2480 -1.3616 -0.7798 -3.6308 0.7656 -2.6811 1.6748 5.2115" Properties=species:S:1:pos:R:3 comment="YTcIr2 | Alexandria | PBEsol | optimized geometry" e_form_mev_per_atom=-176.6 magnetic_moment_mub_per_atom=0.00 total_energy_ha_per_atom=-0.3532 relative_energy_mev_per_atom=0.0 rho_g_cm3=14.4 pbc="T T T"
Y -2.9763 -0.8540 2.3078
Ir -2.1080 1.3168 4.0976
Ir -0.5731 0.3580 1.1139
Tc -1.6357 -1.6914 -0.2980